(1)
# Pm4Hg5Pd3, relaxed, DFT PBE
data_Pm4Hg5Pd3
_symmetry_space_group_name_H-M 'C 1 2/m 1'
_symmetry_Int_Tables_number 12
_cell_length_a 16.271
_cell_length_b 5.022
_cell_length_c 9.098
_cell_angle_alpha 90.00
_cell_angle_beta 123.84
_cell_angle_gamma 90.00
loop_
_symmetry_equiv_pos_as_xyz
'x,y,z'
'-x,-y,-z'
'-x,y,-z'
'x,-y,z'
'x+1/2,y+1/2,z'
'-x+1/2,-y+1/2,-z'
'-x+1/2,y+1/2,-z'
'x+1/2,-y+1/2,z'
loop_
_atom_site_label
_atom_site_type_symbol
_atom_site_fract_x
_atom_site_fract_y
_atom_site_fract_z
_atom_site_occupancy
Pm1 Pm 0.072 0.000 0.389 1
Pm2 Pm 0.200 0.500 0.200 1
Hg1 Hg 0.000 0.000 0.000 1
Hg2 Hg 0.105 0.500 0.678 1
Hg3 Hg 0.161 0.000 0.932 1
Pd1 Pd 0.000 0.500 0.000 1
Pd2 Pd 0.227 0.500 0.544 1
# * energy of formation from the pure elements: -0.409 eV/atom
# * DFT total energy: -3.42 eV per atom

***

(2)
# PmTmSiSe, relaxed, DFT PBE
data_PmTmSiSe
_symmetry_space_group_name_H-M 'R 3 m'
_symmetry_Int_Tables_number 160
_symmetry_space_group_name_Hall 'R 3 -2"'
_cell_length_a 4.1349
_cell_length_b 4.1349
_cell_length_c 20.5254
_cell_angle_alpha 90.00
_cell_angle_beta 90.00
_cell_angle_gamma 120.00
loop_
_atom_site_label
_atom_site_type_symbol
_atom_site_fract_x
_atom_site_fract_y
_atom_site_fract_z
_atom_site_occupancy
Pm1 Pm 0.0000 0.0000 0.0000 1
Tm1 Tm 0.0000 0.0000 0.5089 1
Si1 Si 0.0000 0.0000 0.2514 1
Se1 Se 0.0000 0.0000 0.7588 1
# * raw formation energy: -493 kJ/mol of formula units
# * DFT total energy: -5.81 eV per atom

***

(3)
# LuThMnFe, relaxed, DFT PBE
data_LuThMnFe
_symmetry_space_group_name_H-M 'F -4 3 m'
_symmetry_Int_Tables_number 216
_symmetry_space_group_name_Hall 'F -4 2 3'
_cell_length_a 6.869
_cell_length_b 6.869
_cell_length_c 6.869
_cell_angle_alpha 90.00
_cell_angle_beta 90.00
_cell_angle_gamma 90.00
loop_
_atom_site_label
_atom_site_type_symbol
_atom_site_fract_x
_atom_site_fract_y
_atom_site_fract_z
_atom_site_occupancy
Lu1 Lu 0.000 0.000 0.000 1
Th1 Th 0.000 0.000 0.500 1
Mn1 Mn 0.250 0.250 0.750 1
Fe1 Fe 0.250 0.250 0.250 1
# * energy of formation from the pure elements: 0.102 eV/atom
# * DFT total energy: -7.29 eV per atom

***

(4)
# LaNdCoCu, relaxed, DFT PBE
data_LaNdCoCu
_symmetry_space_group_name_H-M 'A m m 2'
_symmetry_Int_Tables_number 38
_cell_length_a 4.303
_cell_length_b 3.936
_cell_length_c 10.886
_cell_angle_alpha 90.00
_cell_angle_beta 90.00
_cell_angle_gamma 90.00
loop_
_symmetry_equiv_pos_as_xyz
'x,y,z'
'-x,-y,z'
'-x,y,z'
'x,-y,z'
'x,y+1/2,z+1/2'
'-x,-y+1/2,z+1/2'
'-x,y+1/2,z+1/2'
'x,-y+1/2,z+1/2'
loop_
_atom_site_label
_atom_site_type_symbol
_atom_site_fract_x
_atom_site_fract_y
_atom_site_fract_z
_atom_site_occupancy
La1 La 0.000 0.000 0.000 1
Nd1 Nd 0.500 0.000 0.725 1
Co1 Co 0.500 0.000 0.433 1
Cu1 Cu 0.000 0.000 0.296 1
# * energy of formation from the pure elements: -0.109 eV/atom
# * distance to the lowest polymorph of the same formula: 0 meV per atom
# * DFT total energy: -5.33 eV per atom

***

(5)
# ScPaP2N6, relaxed, DFT PBE
data_ScPaP2N6
_symmetry_space_group_name_H-M 'C 1 2/c 1'
_symmetry_Int_Tables_number 15
_cell_length_a 10.419
_cell_length_b 9.390
_cell_length_c 5.591
_cell_angle_alpha 90.00
_cell_angle_beta 110.91
_cell_angle_gamma 90.00
loop_
_symmetry_equiv_pos_as_xyz
'x,y,z'
'-x,-y,-z'
'-x,y,-z+1/2'
'x,-y,z+1/2'
'x+1/2,y+1/2,z'
'-x+1/2,-y+1/2,-z'
'-x+1/2,y+1/2,-z+1/2'
'x+1/2,-y+1/2,z+1/2'
loop_
_atom_site_label
_atom_site_type_symbol
_atom_site_fract_x
_atom_site_fract_y
_atom_site_fract_z
_atom_site_occupancy
Sc1 Sc 0.000 0.195 0.250 1
Pa1 Pa 0.000 0.385 0.750 1
P1 P 0.209 0.080 0.698 1
N1 N 0.119 0.225 0.655 1
N2 N 0.123 0.399 0.172 1
N3 N 0.160 0.027 0.391 1
# * raw formation energy: -968 kJ/mol of formula units
# * DFT total energy: -8.66 eV per atom

***

(6)
# K5Cu, relaxed, DFT PBE
data_K5Cu
_symmetry_space_group_name_H-M 'P 4/m m m'
_symmetry_Int_Tables_number 123
_symmetry_space_group_name_Hall '-P 4 2'
_cell_length_a 4.314
_cell_length_b 4.314
_cell_length_c 18.457
_cell_angle_alpha 90.00
_cell_angle_beta 90.00
_cell_angle_gamma 90.00
loop_
_atom_site_label
_atom_site_type_symbol
_atom_site_fract_x
_atom_site_fract_y
_atom_site_fract_z
_atom_site_occupancy
K1 K 0.000 0.000 0.000 1
K2 K 0.000 0.000 0.399 1
K3 K 0.500 0.500 0.198 1
Cu1 Cu 0.500 0.500 0.500 1
# * energy of formation from the pure elements: 0.165 eV/atom
# * distance to the lowest polymorph of the same formula: 0 meV per atom
# * DFT total energy: -1.43 eV per atom